# 1
Here is a geometry-optimized LiReOs2 structure from Alexandria via LeMat-Bulk. Energies are from GGA-PBE.

The structure belongs to space group Imm2 (No. 44); the cell edges are 2.9957, 4.2734 and 8.5257 Å and the angles 90.00°, 90.00° and 90.00°. Symmetry generates all atoms from Li at (0.0000, 0.0000, 0.0000), Re at (0.0000, 0.5000, 0.2518), Os at (0.0000, 0.0000, 0.5000) and Os at (0.0000, 0.5000, 0.7429).

The offset from the most stable computed form comes out at 150 meV/atom. The energy relative to the elements comes out at 266 meV/atom. As for the size of the total moment: 0.00 Bohr magnetons per cell.

---

# 2
Here is a geometry-optimized LiRe4Os structure from Alexandria via LeMat-Bulk. Energies are from GGA-PBE.

The structure belongs to space group F-43m (No. 216); the cell edges are 7.2490, 7.2490 and 7.2490 Å and the angles 90.00°, 90.00° and 90.00°. Symmetry generates all atoms from Li at (0.0000, 0.0000, 0.0000), Re at (0.1260, 0.1260, 0.6260) and Os at (0.2500, 0.2500, 0.2500).

The energy relative to the elements comes out at 522 meV/atom. As for the size of the total moment: 0.00 Bohr magnetons per cell.

---

# 3
Here is a geometry-optimized LiRe2Os structure from Alexandria via LeMat-Bulk. Energies are from GGA-PBE.

The structure belongs to space group Imm2 (No. 44); the cell edges are 2.9626, 4.3975 and 8.6087 Å and the angles 90.00°, 90.00° and 90.00°. Symmetry generates all atoms from Li at (0.0000, 0.0000, 0.0000), Re at (0.0000, 0.0000, 0.4993), Re at (0.0000, 0.5000, 0.2447) and Os at (0.0000, 0.5000, 0.7496).

The energy relative to the elements comes out at 269 meV/atom. As for the size of the total moment: 0.00 Bohr magnetons per cell.

---

# 4
Here is a geometry-optimized LiRe2Os structure from Alexandria via LeMat-Bulk. Energies are from GGA-PBE.

The structure belongs to space group R-3m (No. 166, hexagonal axes); the cell edges are 2.7307, 2.7307 and 27.8036 Å and the angles 90.00°, 90.00° and 120.00°. Symmetry generates all atoms from Li at (0.0000, 0.0000, 0.0000), Re at (0.0000, 0.0000, 0.2462) and Os at (0.0000, 0.0000, 0.5000).

The energy relative to the elements comes out at 251 meV/atom. As for the size of the total moment: 0.00 Bohr magnetons per cell.

---

# 5
Here is a geometry-optimized LiReOs2 structure from Alexandria via LeMat-Bulk. Energies are from GGA-PBE.

The structure belongs to space group Cm (No. 8); the cell edges are 9.1035, 2.6836 and 4.6777 Å and the angles 90.00°, 98.03° and 90.00°. Symmetry generates all atoms from Li at (0.0000, 0.0000, 0.0000), Re at (0.2358, 0.0000, 0.7361), Os at (0.2609, 0.5000, 0.2381) and Os at (0.4927, 0.0000, 0.4971).

The offset from the most stable computed form comes out at 139 meV/atom. The energy relative to the elements comes out at 256 meV/atom. As for the size of the total moment: 0.00 Bohr magnetons per cell.

---

# 6
Here is a geometry-optimized LiRe2Os structure from Alexandria via LeMat-Bulk. Energies are from GGA-PBE.

The structure belongs to space group I-42d (No. 122); the cell edges are 7.2090, 7.2090 and 5.0637 Å and the angles 90.00°, 90.00° and 90.00°. Symmetry generates all atoms from Li at (0.0000, 0.0000, 0.0000), Re at (0.2141, 0.7500, 0.6250) and Os at (0.0000, 0.0000, 0.5000).

The energy relative to the elements comes out at 901 meV/atom. As for the size of the total moment: 0.00 Bohr magnetons per cell.

---

# 7
Here is a geometry-optimized LiReOs2 structure from Alexandria via LeMat-Bulk. Energies are from GGA-PBE.

The structure belongs to space group P4mm (No. 99); the cell edges are 2.9512, 2.9512 and 6.0925 Å and the angles 90.00°, 90.00° and 90.00°. Symmetry generates all atoms from Li at (0.0000, 0.0000, 0.0000), Re at (0.5000, 0.5000, 0.7700), Os at (0.0000, 0.0000, 0.4983) and Os at (0.5000, 0.5000, 0.2125).

The offset from the most stable computed form comes out at 292 meV/atom. The energy relative to the elements comes out at 409 meV/atom. As for the size of the total moment: 0.00 Bohr magnetons per cell.

---

# 8
Here is a geometry-optimized LiReOs2 structure from Alexandria via LeMat-Bulk. Energies are from GGA-PBE.

The structure belongs to space group Pmmm (No. 47); the cell edges are 2.7839, 4.4478 and 4.5206 Å and the angles 90.00°, 90.00° and 90.00°. Symmetry generates all atoms from Li at (0.0000, 0.0000, 0.0000), Re at (0.5000, 0.0000, 0.5000), Os at (0.0000, 0.5000, 0.5000) and Os at (0.5000, 0.5000, 0.0000).

The offset from the most stable computed form comes out at 327 meV/atom. The energy relative to the elements comes out at 444 meV/atom. As for the size of the total moment: 0.00 Bohr magnetons per cell.

---

# 9
Here is a geometry-optimized LiReOs2 structure from Alexandria via LeMat-Bulk. Energies are from GGA-PBE.

The structure belongs to space group P2/m (No. 10); the cell edges are 2.6751, 4.0185 and 5.2404 Å and the angles 90.00°, 104.09° and 90.00°. Symmetry generates all atoms from Li at (0.0000, 0.0000, 0.0000), Re at (0.0000, 0.0000, 0.5000) and Os at (0.4082, 0.5000, 0.2336).

The offset from the most stable computed form comes out at 138 meV/atom. The energy relative to the elements comes out at 255 meV/atom. As for the size of the total moment: 0.00 Bohr magnetons per cell.

---

# 10
Here is a geometry-optimized LiRe2Os structure from Alexandria via LeMat-Bulk. Energies are from GGA-PBE.

The structure belongs to space group C2/m (No. 12); the cell edges are 9.3736, 2.7340 and 4.6267 Å and the angles 90.00°, 101.99° and 90.00°. Symmetry generates all atoms from Li at (0.0000, 0.0000, 0.0000), Re at (0.2348, 0.0000, 0.7397) and Os at (0.0000, 0.5000, 0.5000).

The energy relative to the elements comes out at 271 meV/atom. As for the size of the total moment: 0.00 Bohr magnetons per cell.

---

# 11
Here is a geometry-optimized LiRe2Os structure from Alexandria via LeMat-Bulk. Energies are from GGA-PBE.

The structure belongs to space group Cmmm (No. 65); the cell edges are 5.1600, 8.2820 and 2.6669 Å and the angles 90.00°, 90.00° and 90.00°. Symmetry generates all atoms from Li at (0.0000, 0.0000, 0.0000), Re at (0.2500, 0.2500, 0.5000) and Os at (0.0000, 0.5000, 0.0000).

The energy relative to the elements comes out at 347 meV/atom. As for the size of the total moment: 0.00 Bohr magnetons per cell.

---

# 12
Here is a geometry-optimized LiRe2Os structure from Alexandria via LeMat-Bulk. Energies are from GGA-PBE.

The structure belongs to space group I-4m2 (No. 119); the cell edges are 4.2946, 4.2946 and 6.0543 Å and the angles 90.00°, 90.00° and 90.00°. Symmetry generates all atoms from Li at (0.0000, 0.0000, 0.0000), Re at (0.0000, 0.0000, 0.5000), Re at (0.0000, 0.5000, 0.7500) and Os at (0.0000, 0.5000, 0.2500).

The energy relative to the elements comes out at 167 meV/atom. As for the size of the total moment: 0.00 Bohr magnetons per cell.

---

# 13
Here is a geometry-optimized LiRe2Os structure from Alexandria via LeMat-Bulk. Energies are from GGA-PBE.

The structure belongs to space group P2/m (No. 10); the cell edges are 2.6824, 4.0920 and 5.1934 Å and the angles 90.00°, 101.63° and 90.00°. Symmetry generates all atoms from Li at (0.0000, 0.0000, 0.0000), Re at (0.4695, 0.5000, 0.2391) and Os at (0.0000, 0.0000, 0.5000).

The energy relative to the elements comes out at 229 meV/atom. As for the size of the total moment: 0.00 Bohr magnetons per cell.

---

# 14
Here is a geometry-optimized Li2Re2Os structure from Alexandria via LeMat-Bulk. Energies are from GGA-PBE.

The structure belongs to space group P4/mbm (No. 127); the cell edges are 6.5412, 6.5412 and 2.9296 Å and the angles 90.00°, 90.00° and 90.00°. Symmetry generates all atoms from Li at (0.1639, 0.3361, 0.0000), Re at (0.1318, 0.6318, 0.5000) and Os at (0.0000, 0.0000, 0.0000).

The offset from the most stable computed form comes out at 0 meV/atom. The energy relative to the elements comes out at 640 meV/atom. As for the size of the total moment: 0.00 Bohr magnetons per cell.

---

# 15
Here is a geometry-optimized LiReOs2 structure from Alexandria via LeMat-Bulk. Energies are from GGA-PBE.

The structure belongs to space group Pmm2 (No. 25); the cell edges are 2.7178, 3.9145 and 5.2001 Å and the angles 90.00°, 90.00° and 90.00°. Symmetry generates all atoms from Li at (0.0000, 0.0000, 0.0000), Re at (0.5000, 0.5000, 0.7529), Os at (0.0000, 0.0000, 0.4967) and Os at (0.5000, 0.5000, 0.2233).

The offset from the most stable computed form comes out at 135 meV/atom. The energy relative to the elements comes out at 251 meV/atom. As for the size of the total moment: 0.00 Bohr magnetons per cell.

---

# 16
Here is a geometry-optimized LiRe2Os structure from Alexandria via LeMat-Bulk. Energies are from GGA-PBE.

The structure belongs to space group I4/mmm (No. 139); the cell edges are 3.7340, 3.7340 and 8.0131 Å and the angles 90.00°, 90.00° and 90.00°. Symmetry generates all atoms from Li at (0.0000, 0.0000, 0.0000), Re at (0.0000, 0.5000, 0.2500) and Os at (0.0000, 0.0000, 0.5000).

The energy relative to the elements comes out at 345 meV/atom. As for the size of the total moment: 0.00 Bohr magnetons per cell.

---

# 17
Here is a geometry-optimized Li3ReOs structure from Alexandria via LeMat-Bulk. Energies are from GGA-PBE.

The structure belongs to space group Pm-3m (No. 221); the cell edges are 4.3849, 4.3849 and 4.3849 Å and the angles 90.00°, 90.00° and 90.00°. Symmetry generates all atoms from Li at (0.0000, 0.0000, 0.5000), Re at (0.5000, 0.5000, 0.5000) and Os at (0.0000, 0.0000, 0.0000).

The offset from the most stable computed form comes out at 0 meV/atom. The energy relative to the elements comes out at 1925 meV/atom. As for the size of the total moment: 2.77 Bohr magnetons per cell.

---

# 18
Here is a geometry-optimized LiReOs2 structure from Alexandria via LeMat-Bulk. Energies are from GGA-PBE.

The structure belongs to space group R-3m (No. 166, hexagonal axes); the cell edges are 2.7344, 2.7344 and 27.0676 Å and the angles 90.00°, 90.00° and 120.00°. Symmetry generates all atoms from Li at (0.0000, 0.0000, 0.0000), Re at (0.0000, 0.0000, 0.5000) and Os at (0.0000, 0.0000, 0.2471).

The offset from the most stable computed form comes out at 41 meV/atom. The energy relative to the elements comes out at 158 meV/atom. As for the size of the total moment: 0.00 Bohr magnetons per cell.

---

# 19
Here is a geometry-optimized LiRe2Os structure from Alexandria via LeMat-Bulk. Energies are from GGA-PBE.

The structure belongs to space group Pmmm (No. 47); the cell edges are 2.9979, 4.2831 and 4.3718 Å and the angles 90.00°, 90.00° and 90.00°. Symmetry generates all atoms from Li at (0.0000, 0.0000, 0.0000), Re at (0.0000, 0.5000, 0.5000), Re at (0.5000, 0.0000, 0.5000) and Os at (0.5000, 0.5000, 0.0000).

The energy relative to the elements comes out at 354 meV/atom. As for the size of the total moment: 0.00 Bohr magnetons per cell.

---

# 20
Here is a geometry-optimized LiRe2Os structure from Alexandria via LeMat-Bulk. Energies are from GGA-PBE.

The structure belongs to space group Pmmm (No. 47); the cell edges are 2.7126, 3.9399 and 5.2330 Å and the angles 90.00°, 90.00° and 90.00°. Symmetry generates all atoms from Li at (0.0000, 0.0000, 0.0000), Re at (0.5000, 0.5000, 0.2381) and Os at (0.0000, 0.0000, 0.5000).

The energy relative to the elements comes out at 249 meV/atom. As for the size of the total moment: 0.00 Bohr magnetons per cell.